(1)
# YRe2Si PBE optimized geometry
data_YRe2Si
_space_group_name_H-M_alt 'P 1'
_space_group_IT_number 1
_space_group_name_Hall 'P 1'
_cell_length_a 3.204
_cell_length_b 3.204
_cell_length_c 6.708
_cell_angle_alpha 90.00
_cell_angle_beta 90.00
_cell_angle_gamma 90.00
loop_
_atom_site_label
_atom_site_type_symbol
_atom_site_fract_x
_atom_site_fract_y
_atom_site_fract_z
Si1 Si 0.500 0.500 0.250
Y1 Y 0.500 0.500 0.750
Re1 Re 0.000 0.000 0.442
Re2 Re 0.000 0.000 0.058
# - Calculated density: 11.8 g/cm³
# - Magnetic moment: 0.00 μB per cell
# - Density of states at the Fermi level: 1.212 states/eV per atom
# - Formation energy from raw total energies: 0.14 eV/atom
# - SG: P4/mmm, No. 123

(2)
# Ca3MgNb PBE optimized geometry
data_Ca3MgNb
_space_group_name_H-M_alt 'P 1'
_space_group_IT_number 1
_space_group_name_Hall 'P 1'
_cell_length_a 5.826
_cell_length_b 5.826
_cell_length_c 5.826
_cell_angle_alpha 90.00
_cell_angle_beta 90.00
_cell_angle_gamma 90.00
loop_
_atom_site_label
_atom_site_type_symbol
_atom_site_fract_x
_atom_site_fract_y
_atom_site_fract_z
Ca1 Ca 0.000 0.500 0.000
Ca2 Ca 0.500 0.000 0.000
Ca3 Ca 0.000 0.000 0.500
Mg1 Mg 0.000 0.000 0.000
Nb1 Nb 0.500 0.500 0.500
# - Calculated density: 2.0 g/cm³
# - Energy relative to the elements: 1.077 eV per atom
# - Magnetic moment: 4.11 μB per cell
# - Energy relative to the lowest polymorph listed for this composition: 227 meV per atom
# - Density of states at the Fermi level: 0.937 states/eV per atom
# - SG: Pm-3m, No. 221

(3)
# MnCuS2 PBE optimized geometry
data_MnCuS2
_space_group_name_H-M_alt 'P 1'
_space_group_IT_number 1
_space_group_name_Hall 'P 1'
_cell_length_a 8.430
_cell_length_b 3.537
_cell_length_c 3.537
_cell_angle_alpha 119.45
_cell_angle_beta 129.62
_cell_angle_gamma 50.38
loop_
_atom_site_label
_atom_site_type_symbol
_atom_site_fract_x
_atom_site_fract_y
_atom_site_fract_z
Cu1 Cu 0.000 0.000 0.000
S1 S 0.252 0.418 0.582
S2 S 0.748 0.582 0.418
Mn1 Mn 0.500 0.500 0.500
# - Calculated density: 4.9 g/cm³
# - Magnetic moment: 3.98 μB per cell
# - Density of states at the Fermi level: 0.451 states/eV per atom
# - Formation energy from raw total energies: -0.35 eV/atom
# - SG: C2/m, No. 12

(4)
# DyYSeO2 PBE optimized geometry
data_DyYSeO2
_space_group_name_H-M_alt 'P 1'
_space_group_IT_number 1
_space_group_name_Hall 'P 1'
_cell_length_a 4.018
_cell_length_b 6.470
_cell_length_c 7.604
_cell_angle_alpha 106.81
_cell_angle_beta 90.00
_cell_angle_gamma 90.00
loop_
_atom_site_label
_atom_site_type_symbol
_atom_site_fract_x
_atom_site_fract_y
_atom_site_fract_z
Dy1 Dy 0.250 0.677 0.415
Dy2 Dy 0.750 0.323 0.585
Y1 Y 0.750 0.319 0.076
Y2 Y 0.250 0.681 0.924
O1 O 0.250 0.489 0.619
O2 O 0.750 0.511 0.381
O3 O 0.250 0.479 0.123
O4 O 0.750 0.521 0.877
Se1 Se 0.250 0.046 0.761
Se2 Se 0.750 0.954 0.239
# - Calculated density: 6.4 g/cm³
# - Magnetic moment: 0.00 μB per cell
# - Density of states at the Fermi level: 0.000 states/eV per atom
# - Formation energy from raw total energies: -3.10 eV/atom
# - SG: P2_1/m, No. 11

(5)
# Mn2PbI PBE optimized geometry
data_Mn2PbI
_space_group_name_H-M_alt 'P 1'
_space_group_IT_number 1
_space_group_name_Hall 'P 1'
_cell_length_a 4.628
_cell_length_b 4.628
_cell_length_c 4.628
_cell_angle_alpha 60.00
_cell_angle_beta 60.00
_cell_angle_gamma 60.00
loop_
_atom_site_label
_atom_site_type_symbol
_atom_site_fract_x
_atom_site_fract_y
_atom_site_fract_z
Mn1 Mn 0.750 0.750 0.750
Mn2 Mn 0.250 0.250 0.250
Pb1 Pb 0.500 0.500 0.500
I1 I 0.000 0.000 0.000
# - Calculated density: 10.5 g/cm³
# - Magnetic moment: 0.00 μB per cell
# - Energy relative to the lowest polymorph listed for this composition: 0 meV per atom
# - Density of states at the Fermi level: 1.441 states/eV per atom
# - Formation energy from raw total energies: 1.19 eV/atom
# - SG: Fm-3m, No. 225

(6)
# NbMoN2 PBE optimized geometry
data_NbMoN2
_space_group_name_H-M_alt 'P 1'
_space_group_IT_number 1
_space_group_name_Hall 'P 1'
_cell_length_a 2.912
_cell_length_b 2.912
_cell_length_c 6.014
_cell_angle_alpha 75.99
_cell_angle_beta 75.99
_cell_angle_gamma 60.00
loop_
_atom_site_label
_atom_site_type_symbol
_atom_site_fract_x
_atom_site_fract_y
_atom_site_fract_z
Mo1 Mo 0.500 0.500 0.500
Nb1 Nb 0.667 0.667 0.000
N1 N 0.089 0.089 0.732
N2 N 0.244 0.244 0.267
# - Calculated density: 8.5 g/cm³
# - Magnetic moment: 0.00 μB per cell
# - Energy relative to the lowest polymorph listed for this composition: 0 meV per atom
# - Density of states at the Fermi level: 0.404 states/eV per atom
# - Formation energy from raw total energies: -0.59 eV/atom
# - SG: R3m, No. 160

(7)
# SrLi2GaIr PBE optimized geometry
data_SrLi2GaIr
_space_group_name_H-M_alt 'P 1'
_space_group_IT_number 1
_space_group_name_Hall 'P 1'
_cell_length_a 4.850
_cell_length_b 4.850
_cell_length_c 4.798
_cell_angle_alpha 90.00
_cell_angle_beta 90.00
_cell_angle_gamma 90.00
loop_
_atom_site_label
_atom_site_type_symbol
_atom_site_fract_x
_atom_site_fract_y
_atom_site_fract_z
Li1 Li 0.000 0.500 0.000
Li2 Li 0.500 0.000 0.000
Ga1 Ga 0.000 0.000 0.500
Ir1 Ir 0.000 0.000 0.000
Sr1 Sr 0.500 0.500 0.500
# - Calculated density: 5.3 g/cm³
# - Energy relative to the elements: -0.222 eV per atom
# - Magnetic moment: 0.00 μB per cell
# - Density of states at the Fermi level: 0.542 states/eV per atom
# - SG: P4/mmm, No. 123

(8)
# Hg3SbF PBE optimized geometry
data_Hg3SbF
_space_group_name_H-M_alt 'P 1'
_space_group_IT_number 1
_space_group_name_Hall 'P 1'
_cell_length_a 5.664
_cell_length_b 5.664
_cell_length_c 5.664
_cell_angle_alpha 90.00
_cell_angle_beta 90.00
_cell_angle_gamma 90.00
loop_
_atom_site_label
_atom_site_type_symbol
_atom_site_fract_x
_atom_site_fract_y
_atom_site_fract_z
F1 F 0.500 0.500 0.500
Hg1 Hg 0.000 0.000 0.500
Hg2 Hg 0.000 0.500 0.000
Hg3 Hg 0.500 0.000 0.000
Sb1 Sb 0.000 0.000 0.000
# - Calculated density: 6.8 g/cm³
# - Magnetic moment: 0.00 μB per cell
# - Energy relative to the lowest polymorph listed for this composition: 0 meV per atom
# - Density of states at the Fermi level: 0.198 states/eV per atom
# - Formation energy from raw total energies: -0.19 eV/atom
# - SG: Pm-3m, No. 221

(9)
# Dy2AlZn3Cu4 PBE optimized geometry
data_Dy2AlZn3Cu4
_space_group_name_H-M_alt 'P 1'
_space_group_IT_number 1
_space_group_name_Hall 'P 1'
_cell_length_a 3.936
_cell_length_b 3.936
_cell_length_c 11.061
_cell_angle_alpha 90.00
_cell_angle_beta 90.00
_cell_angle_gamma 90.00
loop_
_atom_site_label
_atom_site_type_symbol
_atom_site_fract_x
_atom_site_fract_y
_atom_site_fract_z
Cu1 Cu 0.500 0.000 0.642
Cu2 Cu 0.500 0.500 0.000
Cu3 Cu 0.000 0.000 0.000
Cu4 Cu 0.000 0.500 0.358
Zn1 Zn 0.000 0.500 0.137
Zn2 Zn 0.500 0.000 0.863
Zn3 Zn 0.000 0.000 0.500
Dy1 Dy 0.500 0.000 0.250
Dy2 Dy 0.000 0.500 0.750
Al1 Al 0.500 0.500 0.500
# - Calculated density: 7.8 g/cm³
# - Energy relative to the elements: -0.277 eV per atom
# - Magnetic moment: 0.00 μB per cell
# - Density of states at the Fermi level: 0.502 states/eV per atom
# - SG: P-4m2, No. 115

(10)
# BaTiW2 PBE optimized geometry
data_BaTiW2
_space_group_name_H-M_alt 'P 1'
_space_group_IT_number 1
_space_group_name_Hall 'P 1'
_cell_length_a 4.830
_cell_length_b 4.830
_cell_length_c 4.830
_cell_angle_alpha 60.00
_cell_angle_beta 60.00
_cell_angle_gamma 60.00
loop_
_atom_site_label
_atom_site_type_symbol
_atom_site_fract_x
_atom_site_fract_y
_atom_site_fract_z
Ba1 Ba 0.500 0.500 0.500
Ti1 Ti 0.000 0.000 0.000
W1 W 0.250 0.250 0.250
W2 W 0.750 0.750 0.750
# - Calculated density: 11.5 g/cm³
# - Energy relative to the elements: 1.452 eV per atom
# - Magnetic moment: 0.00 μB per cell
# - Energy relative to the lowest polymorph listed for this composition: 0 meV per atom
# - Density of states at the Fermi level: 1.285 states/eV per atom
# - SG: Fm-3m, No. 225

(11)
# RbBaNpI6 PBE optimized geometry
data_RbBaNpI6
_space_group_name_H-M_alt 'P 1'
_space_group_IT_number 1
_space_group_name_Hall 'P 1'
_cell_length_a 8.611
_cell_length_b 8.611
_cell_length_c 15.594
_cell_angle_alpha 90.00
_cell_angle_beta 90.00
_cell_angle_gamma 120.00
loop_
_atom_site_label
_atom_site_type_symbol
_atom_site_fract_x
_atom_site_fract_y
_atom_site_fract_z
I1 I 0.379 0.030 0.133
I2 I 0.030 0.379 0.633
I3 I 0.379 0.349 0.367
I4 I 0.349 0.970 0.633
I5 I 0.621 0.651 0.633
I6 I 0.970 0.349 0.133
I7 I 0.651 0.030 0.367
I8 I 0.621 0.970 0.867
I9 I 0.970 0.621 0.367
I10 I 0.030 0.651 0.867
I11 I 0.349 0.379 0.867
I12 I 0.651 0.621 0.133
Ba1 Ba 0.333 0.667 0.250
Ba2 Ba 0.667 0.333 0.750
Rb1 Rb 0.000 0.000 0.000
Rb2 Rb 0.000 0.000 0.500
Np1 Np 0.667 0.333 0.250
Np2 Np 0.333 0.667 0.750
# - Calculated density: 4.1 g/cm³
# - Magnetic moment: 8.00 μB per cell
# - Density of states at the Fermi level: 0.948 states/eV per atom
# - Formation energy from raw total energies: -1.30 eV/atom
# - SG: P-31c, No. 163

(12)
# Cd2InAsO6 PBE optimized geometry
data_Cd2InAsO6
_space_group_name_H-M_alt 'P 1'
_space_group_IT_number 1
_space_group_name_Hall 'P 1'
_cell_length_a 5.023
_cell_length_b 5.264
_cell_length_c 5.264
_cell_angle_alpha 90.00
_cell_angle_beta 90.00
_cell_angle_gamma 90.00
loop_
_atom_site_label
_atom_site_type_symbol
_atom_site_fract_x
_atom_site_fract_y
_atom_site_fract_z
Cd1 Cd 0.006 0.000 0.500
Cd2 Cd 0.006 0.500 0.000
O1 O 0.719 0.767 0.767
O2 O 0.719 0.767 0.233
O3 O 0.719 0.233 0.233
O4 O 0.147 0.500 0.500
O5 O 0.719 0.233 0.767
O6 O 0.257 0.000 0.000
As1 As 0.602 0.000 0.000
In1 In 0.553 0.500 0.500
# - Calculated density: 6.1 g/cm³
# - Magnetic moment: 0.00 μB per cell
# - Density of states at the Fermi level: 0.079 states/eV per atom
# - Formation energy from raw total energies: -1.07 eV/atom
# - SG: P4mm, No. 99